The following is a PBE-GGA calculation of a relaxed NdHfSc2 crystal, from Alexandria.

a = 7.434 Å, b = 7.434 Å, c = 7.434 Å
α = 90.00°, β = 90.00°, γ = 90.00°
Space group Fm-3m (No. 225)
Symmetry-distinct sites (fractional):
Nd (0.000, 0.000, 0.000) (multiplicity 4)
Hf (0.000, 0.000, 0.500) (multiplicity 4)
Sc (0.250, 0.250, 0.250) (multiplicity 8)

**Energy of formation**: 0.19 eV/atom
**Size of the total moment**: 0.00 μB per atom
**Fermi-level density of states**: 6.599 states/eV/f.u.
**Polymorph energy (0 for the lowest one)**: 0.41 eV per formula unit
**VASP energy**: -6.651 eV per atom

The following is a PBE-GGA calculation of a relaxed NdHf2Sc6 crystal, from Alexandria.

a = 3.2976 Å, b = 3.2976 Å, c = 24.0277 Å
α = 90.00°, β = 90.00°, γ = 120.00°
Space group P-6m2 (No. 187)
Symmetry-distinct sites (fractional):
Nd (0.0000, 0.0000, 0.0000) (multiplicity 1)
Hf (0.6667, 0.3333, 0.3341) (multiplicity 2)
Sc (0.0000, 0.0000, 0.2298) (multiplicity 2)
Sc (0.0000, 0.0000, 0.4363) (multiplicity 2)
Sc (0.6667, 0.3333, 0.1210) (multiplicity 2)

**Energy of formation**: 0.07 eV/atom
**Size of the total moment**: 0.21 μB per atom
**Fermi-level density of states**: 14.986 states/eV/f.u.
**VASP energy**: -6.892 eV per atom

The following is a PBE-GGA calculation of a relaxed NdHf2Sc9 crystal, from Alexandria.

a = 10.3326 Å, b = 10.3326 Å, c = 3.2497 Å
α = 90.00°, β = 90.00°, γ = 120.00°
Space group P6/mmm (No. 191)
Symmetry-distinct sites (fractional):
Nd (0.0000, 0.0000, 0.0000) (multiplicity 1)
Hf (0.3333, 0.6667, 0.0000) (multiplicity 2)
Sc (0.0000, 0.5000, 0.0000) (multiplicity 3)
Sc (0.1830, 0.3659, 0.5000) (multiplicity 6)

**Energy of formation**: 0.02 eV/atom
**Size of the total moment**: 0.00 μB per atom
**Fermi-level density of states**: 15.032 states/eV/f.u.
**VASP energy**: -6.783 eV per atom